Run 1
Below is a relaxed Sn2TeI2 crystal, with properties calculated at the PBE level.

Cell: 4.536 4.536 11.564 Å, 78.69 78.69 60.00°
Fractional positions:
Sn (0.388, 0.388, 0.835)
Sn (0.612, 0.612, 0.165)
I (0.777, 0.777, 0.669)
I (0.223, 0.223, 0.331)
Te (0.000, 0.000, 0.000)

Results
Space group: R-3m (166)



Run 2
Below is a relaxed Sn2TeI2 crystal, with properties calculated at the PBE level.

Cell: 8.605 8.605 4.840 Å, 90.00 90.00 90.00°
Fractional positions:
Sn (0.185, 0.315, 0.000)
Sn (0.815, 0.685, 0.000)
Sn (0.685, 0.185, 0.000)
Sn (0.315, 0.815, 0.000)
I (0.153, 0.653, 0.500)
I (0.653, 0.847, 0.500)
I (0.847, 0.347, 0.500)
I (0.347, 0.153, 0.500)
Te (0.500, 0.500, 0.000)
Te (0.000, 0.000, 0.000)

Results
Space group: P4/mbm (127)



Order from most stable to least stable according to the calculation: run 1, run 2